# 1
The following is a DFT calculation (PBE) of a relaxed K3Np3FeS8 crystal.

As for the formation energy (no corrections): -1.15 eV per atom. The value obtained for the density of states at the Fermi level is 54.65 states/eV/cell. The calculation puts the total magnetic moment at 14.602 Bohr magnetons per cell.

Cell: 13.799 7.851 8.794 Å, 90.00 121.72 90.00°
Space group C2/m (No. 12)
One atom of each set of equivalent atoms:
K: 0.000 0.000 0.000
K: 0.250 0.250 0.000
Np: 0.000 0.500 0.500
Np: 0.250 0.250 0.500
Fe: 0.000 0.000 0.500
S: 0.017 0.237 0.315
S: 0.227 0.000 0.689
S: 0.235 0.500 0.705

# 2
The following is a DFT calculation (PBE) of a relaxed Ac6Ru2SBr2 crystal.

As for the formation energy (no corrections): -0.93 eV per atom. The value obtained for the density of states at the Fermi level is 18.47 states/eV/cell. The calculation puts the total magnetic moment at 0.765 Bohr magnetons per cell.

Cell: 7.723 13.025 8.296 Å, 90.00 107.42 90.00°
Space group C2/m (No. 12)
One atom of each set of equivalent atoms:
Ac: 0.209 0.000 0.201
Ac: 0.240 0.327 0.202
Ru: 0.000 0.172 0.000
S: 0.000 0.500 0.000
Br: 0.000 0.336 0.500

# 3
The following is a DFT calculation (PBE) of a relaxed Sm2Th2SiIr4 crystal.

As for the formation energy (no corrections): -0.41 eV per atom. The value obtained for the density of states at the Fermi level is 14.04 states/eV/cell. The calculation puts the total magnetic moment at 0.000 Bohr magnetons per cell.

Cell: 6.450 6.450 9.513 Å, 90.00 90.00 90.00°
Space group I4/mmm (No. 139)
One atom of each set of equivalent atoms:
Sm: 0.000 0.500 0.250
Th: 0.000 0.000 0.190
Si: 0.000 0.000 0.500
Ir: 0.242 0.242 0.000

# 4
The following is a DFT calculation (PBE) of a relaxed PrPu2Mg crystal.

The calculation puts the formation energy from the elements at 0.74 eV per formula unit. The value obtained for the density of states at the Fermi level is 14.50 states/eV/cell. The calculation puts the total magnetic moment at 12.536 Bohr magnetons per cell.

Cell: 4.632 4.632 5.289 Å, 90.00 90.00 90.00°
Space group P4/mmm (No. 123)
One atom of each set of equivalent atoms:
Pr: 0.000 0.000 0.000
Pu: 0.000 0.500 0.500
Mg: 0.500 0.500 0.000

# 5
The following is a DFT calculation (PBE) of a relaxed Be2AlGaAg crystal.

The calculation puts the formation energy from the elements at 4.38 eV per formula unit. The value obtained for the density of states at the Fermi level is 1.25 states/eV/cell. The calculation puts the total magnetic moment at 0.000 Bohr magnetons per cell.

Cell: 4.359 4.359 5.009 Å, 90.00 90.00 90.00°
Space group P4/mmm (No. 123)
One atom of each set of equivalent atoms:
Be: 0.000 0.500 0.000
Al: 0.000 0.000 0.000
Ga: 0.000 0.000 0.500
Ag: 0.500 0.500 0.500

# 6
The following is a DFT calculation (PBE) of a relaxed LiAlC crystal.

The calculation puts the formation energy from the elements at 0.66 eV per formula unit. The value obtained for the density of states at the Fermi level is 1.69 states/eV/cell. The calculation puts the total magnetic moment at 0.000 Bohr magnetons per cell.

Cell: 3.051 4.005 6.567 Å, 90.00 90.00 90.00°
Space group Pmmm (No. 47)
One atom of each set of equivalent atoms:
Li: 0.000 0.000 0.000
Li: 0.500 0.000 0.500
Al: 0.000 0.500 0.307
C: 0.500 0.500 0.104

# 7
The following is a DFT calculation (PBE) of a relaxed CaNdAlAg crystal.

The calculation puts the formation energy from the elements at -1.17 eV per formula unit. The value obtained for the density of states at the Fermi level is 11.82 states/eV/cell. The calculation puts the total magnetic moment at 0.000 Bohr magnetons per cell.

Cell: 7.468 7.468 7.468 Å, 90.00 90.00 90.00°
Space group F-43m (No. 216)
One atom of each set of equivalent atoms:
Ca: 0.000 0.000 0.000
Nd: 0.000 0.000 0.500
Al: 0.250 0.250 0.250
Ag: 0.250 0.250 0.750

# 8
The following is a DFT calculation (PBE) of a relaxed Sr2ZrIr crystal.

The calculation puts the formation energy from the elements at 1.46 eV per formula unit. The value obtained for the density of states at the Fermi level is 2.90 states/eV/cell. The calculation puts the total magnetic moment at 0.000 Bohr magnetons per cell.

Cell: 4.270 4.270 5.487 Å, 90.00 90.00 90.00°
Space group P4/mmm (No. 123)
One atom of each set of equivalent atoms:
Sr: 0.000 0.500 0.000
Zr: 0.000 0.000 0.500
Ir: 0.500 0.500 0.500

# 9
The following is a DFT calculation (PBE) of a relaxed InHgI6 crystal.

As for the formation energy (no corrections): -0.21 eV per atom. The value obtained for the density of states at the Fermi level is 0.90 states/eV/cell. The calculation puts the total magnetic moment at 0.000 Bohr magnetons per cell.

Cell: 6.937 7.383 8.287 Å, 63.62 67.58 68.45°
Space group P-1 (No. 2)
One atom of each set of equivalent atoms:
In: 0.000 0.000 0.000
Hg: 0.500 0.500 0.500
I: 0.236 0.957 0.224
I: 0.243 0.559 0.978
I: 0.253 0.245 0.585

# 10
The following is a DFT calculation (PBE) of a relaxed CoMo2Ir crystal.

The calculation puts the formation energy from the elements at -0.40 eV per formula unit. The value obtained for the density of states at the Fermi level is 6.07 states/eV/cell. The calculation puts the total magnetic moment at 0.000 Bohr magnetons per cell.

Cell: 5.394 7.722 2.723 Å, 90.00 90.23 90.00°
Space group C2/m (No. 12)
One atom of each set of equivalent atoms:
Co: 0.000 0.000 0.000
Mo: 0.250 0.250 0.500
Ir: 0.000 0.500 0.000

# 11
The following is a DFT calculation (PBE) of a relaxed DyEr6Al crystal.

The calculation puts the formation energy from the elements at 0.20 eV per formula unit. The value obtained for the density of states at the Fermi level is 19.27 states/eV/cell. The calculation puts the total magnetic moment at 0.000 Bohr magnetons per cell.

Cell: 8.363 9.204 6.192 Å, 90.00 99.92 90.00°
Space group C2/m (No. 12)
One atom of each set of equivalent atoms:
Dy: 0.000 0.000 0.000
Er: 0.162 0.500 0.205
Er: 0.163 0.310 0.716
Al: 0.000 0.000 0.500

# 12
The following is a DFT calculation (PBE) of a relaxed LaDySc2Cd4 crystal.

The calculation puts the formation energy from the elements at -2.22 eV per formula unit. The value obtained for the density of states at the Fermi level is 25.64 states/eV/cell. The calculation puts the total magnetic moment at 2.129 Bohr magnetons per cell.

Cell: 5.2254 5.2254 25.7531 Å, 90.00 90.00 120.00°
Space group R-3m (No. 166, hexagonal axes)
One atom of each set of equivalent atoms:
La: 0.0000 0.0000 0.0000
Dy: 0.0000 0.0000 0.5000
Sc: 0.0000 0.0000 0.2487
Cd: 0.0000 0.0000 0.1276
Cd: 0.0000 0.0000 0.3788

Copy entry 4 word for word.
The following is a DFT calculation (PBE) of a relaxed PrPu2Mg crystal.

The calculation puts the formation energy from the elements at 0.74 eV per formula unit. The value obtained for the density of states at the Fermi level is 14.50 states/eV/cell. The calculation puts the total magnetic moment at 12.536 Bohr magnetons per cell.

Cell: 4.632 4.632 5.289 Å, 90.00 90.00 90.00°
Space group P4/mmm (No. 123)
One atom of each set of equivalent atoms:
Pr: 0.000 0.000 0.000
Pu: 0.000 0.500 0.500
Mg: 0.500 0.500 0.000